{
  "formula": "Li3VP2O8",
  "functional": "GGA+U",
  "state": "relaxed",
  "cell": [[4.591, -2.347, 0.000], [4.591, 2.347, 0.000], [-2.041, 0.000, 13.428]],
  "species": ["Li", "Li", "Li", "Li", "Li", "Li", "V", "V", "P", "P", "P", "P", "O", "O", "O", "O", "O", "O", "O", "O", "O", "O", "O", "O", "O", "O", "O", "O"],
  "fractional_positions": [[0.044, 0.956, 0.750], [0.301, 0.363, 0.341], [0.363, 0.301, 0.841], [0.637, 0.699, 0.159], [0.699, 0.637, 0.659], [0.956, 0.044, 0.250], [0.000, 0.000, 0.000], [0.000, 0.000, 0.500], [0.325, 0.360, 0.115], [0.360, 0.325, 0.615], [0.640, 0.675, 0.385], [0.675, 0.640, 0.885], [0.033, 0.342, 0.086], [0.173, 0.506, 0.709], [0.196, 0.724, 0.133], [0.217, 0.557, 0.531], [0.276, 0.804, 0.367], [0.342, 0.033, 0.586], [0.443, 0.783, 0.969], [0.494, 0.827, 0.791], [0.506, 0.173, 0.209], [0.557, 0.217, 0.031], [0.658, 0.967, 0.414], [0.724, 0.196, 0.633], [0.783, 0.443, 0.469], [0.804, 0.276, 0.867], [0.827, 0.494, 0.291], [0.967, 0.658, 0.914]],
  "vol_a3_per_cell": 289,
  "relative_energy_kcal_per_mol_atoms": 0.09,
  "n_ef_per_ev_fu": 0.000,
  "final_energy_ry_per_atom": -0.5032
}